1.
## Nd6As5Se (PBE)

Data for an optimized crystal structure of Nd6As5Se.

```
Nd6As5Se
1.0
7.309 0.176 1.109
1.793 6.197 3.612
0.122 0.068 7.388
As Se Nd
5 1 6
Direct
0.500 0.500 0.000 As
0.500 0.834 0.331 As
0.500 0.166 0.669 As
0.000 0.333 0.334 As
0.000 0.667 0.666 As
0.000 0.000 0.000 Se
0.253 0.254 0.000 Nd
0.747 0.746 0.000 Nd
0.253 0.578 0.338 Nd
0.253 0.916 0.662 Nd
0.747 0.084 0.338 Nd
0.747 0.422 0.662 Nd
```

Values from the calculation:
Final energy, eV/atom: -6.222
Raw formation energy, eV/atom: -1.610

=====

2.
## Nd3AsSe2 (PBE)

Data for an optimized crystal structure of Nd3AsSe2.

```
Nd3AsSe2
1.0
-7.342 0.348 0.452
0.813 -7.188 -1.325
1.771 2.732 6.594
Se Nd As
4 6 2
Direct
0.250 0.917 0.083 Se
0.750 0.751 0.249 Se
0.750 0.083 0.917 Se
0.250 0.249 0.751 Se
0.499 0.340 0.180 Nd
0.999 0.180 0.340 Nd
0.501 0.660 0.820 Nd
0.001 0.820 0.660 Nd
0.500 0.000 0.500 Nd
0.000 0.500 0.000 Nd
0.250 0.585 0.415 As
0.750 0.415 0.585 As
```

Values from the calculation:
Energy relative to the lowest polymorph listed for this composition, meV per atom: 5
Final energy, eV/atom: -6.096
Raw formation energy, eV/atom: -1.775

=====

3.
## NdAsSe3 (PBE)

Data for an optimized crystal structure of NdAsSe3.

```
NdAsSe3
1.0
4.108 0.000 0.000
0.000 8.023 -0.534
-2.054 -0.715 8.427
As Se Nd
2 6 2
Direct
0.438 0.277 0.877 As
0.562 0.723 0.123 As
0.821 0.391 0.641 Se
0.022 0.219 0.045 Se
0.179 0.609 0.359 Se
0.660 0.982 0.321 Se
0.978 0.781 0.955 Se
0.340 0.018 0.679 Se
0.205 0.250 0.411 Nd
0.795 0.750 0.589 Nd
```

Values from the calculation:
Energy relative to the lowest polymorph listed for this composition, meV per atom: 87
Final energy, eV/atom: -4.845
Raw formation energy, eV/atom: -0.871

=====

4.
## Nd7AsSe5 (PBE)

Data for an optimized crystal structure of Nd7AsSe5.

```
Nd7AsSe5
1.0
-3.848 0.385 1.499
3.699 -3.966 4.775
6.808 20.898 12.100
As Nd Se
2 14 10
Direct
0.810 0.620 0.262 As
0.191 0.381 0.763 As
0.626 0.252 0.464 Nd
0.897 0.795 0.380 Nd
0.464 0.928 0.248 Nd
0.537 0.073 0.748 Nd
0.070 0.140 0.607 Nd
0.187 0.375 0.319 Nd
0.375 0.749 0.964 Nd
0.207 0.415 0.181 Nd
0.103 0.207 0.880 Nd
0.652 0.303 0.039 Nd
0.349 0.697 0.539 Nd
0.814 0.627 0.819 Nd
0.930 0.860 0.108 Nd
0.793 0.586 0.681 Nd
0.567 0.134 0.146 Se
0.734 0.469 0.928 Se
0.266 0.533 0.428 Se
0.710 0.420 0.573 Se
0.434 0.867 0.646 Se
0.984 0.968 0.497 Se
0.544 0.088 0.355 Se
0.291 0.581 0.073 Se
0.457 0.914 0.855 Se
0.016 0.033 0.997 Se
```

Values from the calculation:
Final energy, eV/atom: -5.886
Raw formation energy, eV/atom: -1.620

=====

5.
## Nd5AsSe4 (PBE)

Data for an optimized crystal structure of Nd5AsSe4.

```
Nd5AsSe4
1.0
4.197 0.000 -0.592
-0.083 4.197 -0.592
0.016 0.016 15.301
Se Nd As
4 5 1
Direct
0.601 0.601 0.202 Se
0.399 0.399 0.798 Se
0.801 0.801 0.602 Se
0.199 0.199 0.398 Se
0.298 0.298 0.597 Nd
0.098 0.098 0.196 Nd
0.902 0.902 0.804 Nd
0.702 0.702 0.403 Nd
0.500 0.500 0.000 Nd
0.000 0.000 0.000 As
```

Values from the calculation:
Final energy, eV/atom: -6.039
Raw formation energy, eV/atom: -1.796

=====

6.
## NdAsSe4 (PBE)

Data for an optimized crystal structure of NdAsSe4.

```
NdAsSe4
1.0
6.300 -0.890 0.000
-4.187 6.652 0.000
0.000 0.000 9.472
Se Nd As
8 2 2
Direct
0.552 0.721 0.750 Se
0.102 0.702 0.438 Se
0.898 0.298 0.562 Se
0.898 0.298 0.938 Se
0.672 0.860 0.250 Se
0.448 0.279 0.250 Se
0.102 0.702 0.062 Se
0.328 0.140 0.750 Se
0.060 0.372 0.250 Nd
0.940 0.628 0.750 Nd
0.934 0.104 0.750 As
0.066 0.896 0.250 As
```

Values from the calculation:
Final energy, eV/atom: -4.616
Raw formation energy, eV/atom: -0.723

=====

7.
## Nd3As2Se (PBE)

Data for an optimized crystal structure of Nd3As2Se.

```
Nd3As2Se
1.0
-1.957 -3.099 -2.178
5.216 -1.413 -2.676
-0.333 -1.867 7.130
Nd As Se
3 2 1
Direct
0.500 0.000 0.500 Nd
0.172 0.672 0.843 Nd
0.828 0.328 0.157 Nd
0.834 0.834 0.169 As
0.166 0.166 0.831 As
0.500 0.500 0.500 Se
```

Values from the calculation:
Final energy, eV/atom: -6.193
Raw formation energy, eV/atom: -1.679

=====

8.
## Nd6AsSe5 (PBE)

Data for an optimized crystal structure of Nd6AsSe5.

```
Nd6AsSe5
1.0
7.212 -0.115 -1.355
-3.899 6.068 -1.355
0.149 0.269 7.352
Nd Se As
6 5 1
Direct
0.245 0.245 0.756 Nd
0.919 0.593 0.756 Nd
0.081 0.407 0.244 Nd
0.407 0.081 0.244 Nd
0.593 0.919 0.756 Nd
0.755 0.755 0.244 Nd
0.168 0.832 0.500 Se
0.832 0.168 0.500 Se
0.333 0.667 0.000 Se
0.667 0.333 0.000 Se
0.500 0.500 0.500 Se
0.000 0.000 0.000 As
```

Values from the calculation:
Final energy, eV/atom: -6.035
Raw formation energy, eV/atom: -1.812

=====

9.
## Nd8AsSe6 (PBE)

Data for an optimized crystal structure of Nd8AsSe6.

```
Nd8AsSe6
1.0
-3.864 -1.398 -1.288
4.149 -2.809 -9.395
-0.160 -6.971 8.046
Nd Se As
8 6 1
Direct
0.740 0.969 0.281 Nd
0.740 0.719 0.688 Nd
0.260 0.281 0.312 Nd
0.740 0.312 0.031 Nd
0.746 0.333 0.667 Nd
0.260 0.031 0.719 Nd
0.254 0.667 0.333 Nd
0.260 0.688 0.969 Nd
0.246 0.352 0.871 Se
0.754 0.871 0.520 Se
0.246 0.129 0.480 Se
0.754 0.648 0.129 Se
0.246 0.520 0.648 Se
0.754 0.480 0.352 Se
0.500 0.000 0.000 As
```

Values from the calculation:
Final energy, eV/atom: -5.642
Raw formation energy, eV/atom: -1.395

=====

10.
## NdAsSe3 (PBE)

Data for an optimized crystal structure of NdAsSe3.

```
NdAsSe3
1.0
4.137 0.000 0.000
0.000 8.261 0.000
0.000 0.000 14.085
As Se Nd
4 12 4
Direct
0.750 0.345 0.439 As
0.250 0.655 0.561 As
0.750 0.845 0.061 As
0.250 0.155 0.939 As
0.250 0.649 0.996 Se
0.750 0.684 0.215 Se
0.750 0.184 0.285 Se
0.750 0.851 0.496 Se
0.250 0.816 0.715 Se
0.750 0.476 0.627 Se
0.250 0.024 0.127 Se
0.250 0.149 0.504 Se
0.250 0.316 0.785 Se
0.750 0.976 0.873 Se
0.750 0.351 0.004 Se
0.250 0.524 0.373 Se
0.250 0.904 0.333 Nd
0.750 0.596 0.833 Nd
0.750 0.096 0.667 Nd
0.250 0.404 0.167 Nd
```

Values from the calculation:
Energy relative to the lowest polymorph listed for this composition, meV per atom: 0
Final energy, eV/atom: -4.932
Raw formation energy, eV/atom: -0.957

=====

11.
## Nd3AsSe2 (PBE)

Data for an optimized crystal structure of Nd3AsSe2.

```
Nd3AsSe2
1.0
-3.639 2.098 -0.529
-3.058 -5.073 0.907
3.151 2.730 6.096
Nd Se As
3 2 1
Direct
0.500 0.000 0.500 Nd
0.160 0.660 0.820 Nd
0.840 0.340 0.180 Nd
0.832 0.832 0.164 Se
0.168 0.168 0.836 Se
0.500 0.500 0.500 As
```

Values from the calculation:
Energy relative to the lowest polymorph listed for this composition, meV per atom: 0
Final energy, eV/atom: -6.101
Raw formation energy, eV/atom: -1.780

=====

12.
## Nd3As2Se2 (PBE)

Data for an optimized crystal structure of Nd3As2Se2.

```
Nd3As2Se2
1.0
-3.523 2.217 -0.930
-3.134 -2.277 6.448
6.179 5.719 0.002
Nd As Se
3 2 2
Direct
0.281 0.777 0.562 Nd
0.719 0.223 0.438 Nd
0.000 0.500 0.000 Nd
0.642 0.765 0.284 As
0.358 0.235 0.716 As
0.876 0.686 0.752 Se
0.124 0.314 0.248 Se
```

Values from the calculation:
Final energy, eV/atom: -5.743
Raw formation energy, eV/atom: -1.375

=====

13.
## Nd4SiAsSe2 (PBE)

Data for an optimized crystal structure of Nd4SiAsSe2.

```
Nd4SiAsSe2
1.0
4.261 0.000 0.000
0.000 7.404 -0.159
0.000 2.594 6.911
Se Nd Si As
2 4 1 1
Direct
0.000 0.000 0.000 Se
0.500 0.000 0.500 Se
0.000 0.262 0.249 Nd
0.000 0.738 0.751 Nd
0.500 0.739 0.256 Nd
0.500 0.261 0.744 Nd
0.000 0.500 0.500 Si
0.500 0.500 0.000 As
```

Values from the calculation:
Final energy, eV/atom: -6.053
Raw formation energy, eV/atom: -1.539

=====

14.
## Nd6SiAs2Se3 (PBE)

Data for an optimized crystal structure of Nd6SiAs2Se3.

```
Nd6SiAs2Se3
1.0
-0.852 4.071 0.915
-8.273 -1.925 0.860
3.851 -3.246 8.117
Nd Se Si As
6 3 1 2
Direct
0.669 0.577 0.337 Nd
0.338 0.914 0.676 Nd
0.998 0.759 0.997 Nd
0.002 0.241 0.003 Nd
0.662 0.086 0.324 Nd
0.331 0.423 0.663 Nd
0.168 0.833 0.335 Se
0.500 0.500 0.000 Se
0.832 0.167 0.665 Se
0.500 0.000 0.000 Si
0.167 0.334 0.334 As
0.833 0.666 0.666 As
```

Values from the calculation:
Final energy, eV/atom: -6.085
Raw formation energy, eV/atom: -1.603

=====

15.
## Nd6SnAs2Se3 (PBE)

Data for an optimized crystal structure of Nd6SnAs2Se3.

```
Nd6SnAs2Se3
1.0
4.303 0.000 0.000
0.000 8.617 0.317
-2.152 -2.477 9.055
As Nd Se Sn
2 6 3 1
Direct
0.168 0.335 0.335 As
0.832 0.665 0.665 As
0.330 0.423 0.660 Nd
0.997 0.742 0.995 Nd
0.003 0.258 0.005 Nd
0.670 0.577 0.340 Nd
0.331 0.908 0.662 Nd
0.669 0.092 0.338 Nd
0.834 0.168 0.668 Se
0.166 0.832 0.332 Se
0.500 0.500 0.000 Se
0.500 0.000 0.000 Sn
```

Values from the calculation:
Final energy, eV/atom: -5.939
Raw formation energy, eV/atom: -1.576

=====

16.
## Nd6Sn2AsSe3 (PBE)

Data for an optimized crystal structure of Nd6Sn2AsSe3.

```
Nd6Sn2AsSe3
1.0
4.349 0.000 0.000
0.000 8.714 0.328
-2.174 -2.498 9.151
Se As Sn Nd
3 1 2 6
Direct
0.834 0.165 0.668 Se
0.166 0.835 0.332 Se
0.500 0.500 0.000 Se
0.500 0.000 0.000 As
0.167 0.333 0.334 Sn
0.833 0.667 0.666 Sn
0.663 0.588 0.327 Nd
0.337 0.923 0.673 Nd
0.337 0.412 0.673 Nd
0.000 0.759 0.001 Nd
0.663 0.077 0.327 Nd
0.000 0.241 0.999 Nd
```

Values from the calculation:
Final energy, eV/atom: -5.737
Raw formation energy, eV/atom: -1.427

=====

17.
## SrNdAsSe (PBE)

Data for an optimized crystal structure of SrNdAsSe.

```
SrNdAsSe
1.0
4.358 0.000 0.000
2.179 3.774 0.000
2.179 1.258 7.212
As Nd Sr Se
1 1 1 1
Direct
0.256 0.256 0.231 As
0.995 0.995 0.014 Nd
0.502 0.502 0.494 Sr
0.746 0.746 0.761 Se
```

Values from the calculation:
Final energy, eV/atom: -5.350
Raw formation energy, eV/atom: -1.704

=====

18.
## Nd6Te2As3Se (PBE)

Data for an optimized crystal structure of Nd6Te2As3Se.

```
Nd6Te2As3Se
1.0
4.316 0.000 0.000
0.000 8.761 0.217
-2.158 -2.627 9.162
Se As Te Nd
1 3 2 6
Direct
0.500 0.000 0.000 Se
0.168 0.835 0.336 As
0.500 0.500 0.000 As
0.832 0.165 0.664 As
0.167 0.334 0.333 Te
0.833 0.666 0.667 Te
0.340 0.400 0.681 Nd
0.660 0.600 0.319 Nd
0.007 0.746 0.013 Nd
0.331 0.934 0.663 Nd
0.993 0.254 0.987 Nd
0.669 0.066 0.337 Nd
```

Values from the calculation:
Final energy, eV/atom: -5.957
Raw formation energy, eV/atom: -1.597

=====

19.
## Nd4TeAsSe2 (PBE)

Data for an optimized crystal structure of Nd4TeAsSe2.

```
Nd4TeAsSe2
1.0
-1.080 -3.501 2.229
6.843 -2.693 -0.915
4.365 2.310 5.743
Nd As Te Se
4 1 1 2
Direct
0.500 0.748 0.268 Nd
0.000 0.763 0.725 Nd
0.500 0.252 0.732 Nd
0.000 0.237 0.275 Nd
0.000 0.500 0.500 As
0.500 0.500 0.000 Te
0.000 0.000 0.000 Se
0.500 0.000 0.500 Se
```

Values from the calculation:
Final energy, eV/atom: -5.908
Raw formation energy, eV/atom: -1.679

=====

20.
## Nd6TeAs2Se3 (PBE)

Data for an optimized crystal structure of Nd6TeAs2Se3.

```
Nd6TeAs2Se3
1.0
-4.089 -0.671 1.080
1.038 -8.453 -1.317
4.269 1.318 8.492
As Nd Se Te
2 6 3 1
Direct
0.167 0.334 0.335 As
0.833 0.666 0.665 As
0.006 0.271 0.012 Nd
0.330 0.422 0.660 Nd
0.670 0.578 0.340 Nd
0.674 0.100 0.349 Nd
0.326 0.900 0.651 Nd
0.994 0.729 0.988 Nd
0.838 0.165 0.675 Se
0.162 0.835 0.325 Se
0.500 0.500 0.000 Se
0.500 0.000 0.000 Te
```

Values from the calculation:
Final energy, eV/atom: -5.991
Raw formation energy, eV/atom: -1.699